1.
# Er4MnPb

An optimized crystal structure of Er4MnPb (PBE, Alexandria).

Computed properties:
The calculation puts the energy relative to the elements at -0.163 eV per atom. As for the raw total energy: -5.351 eV/atom.

Unit cell a=5.899 b=8.012 c=8.012 alpha=113.77 beta=100.59 gamma=100.59
Last column: magnetic moment on the atom in μB.
Fractional positions:
Er1 0.865 0.654 0.794  -0.17
Er2 0.054 0.944 0.273  -0.17
Er3 0.635 0.206 0.346  -0.17
Er4 0.446 0.727 0.056  -0.17
Er5 0.554 0.273 0.944  -0.17
Er6 0.365 0.794 0.654  -0.17
Er7 0.946 0.056 0.727  -0.17
Er8 0.135 0.346 0.206  -0.17
Mn1 0.250 0.000 0.000  1.36
Mn2 0.750 0.000 0.000  1.36
Pb1 0.750 0.630 0.370  0.00
Pb2 0.250 0.370 0.630  0.00



2.
# Pm3Sm8Dy4

An optimized crystal structure of Pm3Sm8Dy4 (PBE, Alexandria).

Computed properties:
The calculation puts the energy relative to the elements at 0.342 eV per atom. As for the raw total energy: -4.353 eV/atom.

Unit cell a=6.897 b=9.265 c=9.265 alpha=82.12 beta=111.75 gamma=111.75
Fractional positions:
Pm1 0.500 0.500 0.000
Pm2 0.500 0.000 0.500
Pm3 0.500 0.500 0.500
Sm1 0.796 0.296 0.296
Sm2 0.000 0.704 0.296
Sm3 0.247 0.248 0.248
Sm4 0.500 0.752 0.248
Sm5 0.500 0.248 0.752
Sm6 0.753 0.752 0.752
Sm7 0.000 0.296 0.704
Sm8 0.204 0.704 0.704
Dy1 0.500 0.000 0.000
Dy2 0.000 0.500 0.000
Dy3 0.000 0.000 0.000
Dy4 0.000 0.000 0.500



3.
# Ba2AlAg2

An optimized crystal structure of Ba2AlAg2 (PBE, Alexandria).

Computed properties:
The calculation puts the energy relative to the elements at -0.229 eV per atom. The value obtained for the energy above the most stable polymorph in this dataset is 0 meV/atom. As for the raw total energy: -2.887 eV/atom.

Unit cell a=6.500 b=6.400 c=8.887 alpha=100.63 beta=90.00 gamma=120.52
Fractional positions:
Ba1 0.533 0.308 0.155
Ba2 0.225 0.692 0.345
Ba3 0.467 0.692 0.845
Ba4 0.775 0.308 0.655
Al1 0.876 0.000 0.250
Al2 0.124 0.000 0.750
Ag1 0.764 0.766 0.500
Ag2 0.998 0.234 0.000
Ag3 0.236 0.234 0.500
Ag4 0.002 0.766 0.000



4.
# NbSbBr2

An optimized crystal structure of NbSbBr2 (PBE, Alexandria).

Computed properties:
The value obtained for the energy above the most stable polymorph in this dataset is 0 meV/atom. As for the raw total energy: -4.641 eV/atom. The formation energy from raw total energies comes out at -24.7 kJ per mole of atoms.

Unit cell a=12.206 b=12.206 c=12.206 alpha=15.55 beta=15.55 gamma=15.55
Fractional positions:
Sb1 0.000 0.000 0.000
Nb1 0.500 0.500 0.500
Br1 0.886 0.886 0.886
Br2 0.114 0.114 0.114



5.
# YPOs2

An optimized crystal structure of YPOs2 (PBE, Alexandria).

Computed properties:
The calculation puts the energy relative to the elements at -0.098 eV per atom. As for the raw total energy: -8.681 eV/atom.

Unit cell a=4.202 b=2.970 c=5.684 alpha=76.66 beta=90.00 gamma=90.00
Fractional positions:
Y1 0.500 0.743 0.731
P1 0.000 0.369 0.445
Os1 0.000 0.993 0.083
Os2 0.500 0.396 0.240



6.
# K2AlPbSe4

An optimized crystal structure of K2AlPbSe4 (PBE, Alexandria).

Computed properties:
As for the raw total energy: -3.817 eV/atom. The formation energy from raw total energies comes out at -83.8 kJ per mole of atoms.

Unit cell a=7.067 b=6.789 c=6.789 alpha=74.28 beta=58.64 gamma=58.64
Fractional positions:
K1 0.000 0.500 0.500
K2 0.500 0.500 0.500
Al1 0.500 0.000 0.000
Pb1 0.000 0.000 0.000
Se1 0.123 0.338 0.000
Se2 0.877 0.000 0.662
Se3 0.538 0.000 0.338
Se4 0.462 0.662 0.000



7.
# IrSe5

An optimized crystal structure of IrSe5 (PBE, Alexandria).

Computed properties:
The value obtained for the energy above the most stable polymorph in this dataset is 942 meV/atom. As for the raw total energy: -3.474 eV/atom. The formation energy from raw total energies comes out at 87.5 kJ per mole of atoms.

Unit cell a=4.950 b=4.950 c=7.933 alpha=90.00 beta=90.00 gamma=120.00
Last column: magnetic moment on the atom in μB.
Fractional positions:
Ir1 0.000 0.000 0.000  0.68
Se1 0.333 0.667 0.000  0.22
Se2 0.667 0.333 0.000  0.22
Se3 0.500 0.000 0.500  0.40
Se4 0.000 0.500 0.500  0.40
Se5 0.500 0.500 0.500  0.40



8.
# CsTmScI6

An optimized crystal structure of CsTmScI6 (PBE, Alexandria).

Computed properties:
As for the raw total energy: -3.633 eV/atom. The formation energy from raw total energies comes out at -125.9 kJ per mole of atoms.

Unit cell a=7.665 b=7.532 c=9.074 alpha=91.20 beta=92.36 gamma=59.41
Last column: magnetic moment on the atom in μB.
Fractional positions:
Cs1 0.000 0.001 0.000  0.00
Tm1 0.347 0.305 0.500  0.15
Sc1 0.653 0.694 0.500  0.58
I1 0.988 0.360 0.316  0.00
I2 0.379 0.995 0.714  0.00
I3 0.652 0.360 0.684  0.00
I4 0.005 0.645 0.682  0.00
I5 0.350 0.645 0.318  0.00
I6 0.626 0.995 0.286  0.00



9.
# Er3Sc5Sb2

An optimized crystal structure of Er3Sc5Sb2 (PBE, Alexandria).

Computed properties:
As for the raw total energy: -5.545 eV/atom. The formation energy from raw total energies comes out at -17.9 kJ per mole of atoms.

Unit cell a=6.109 b=9.931 c=9.931 alpha=93.56 beta=72.09 gamma=72.09
Fractional positions:
Er1 0.250 0.000 0.000
Er2 0.750 0.000 0.000
Er3 0.366 0.346 0.922
Er4 0.634 0.654 0.078
Er5 0.866 0.922 0.346
Er6 0.134 0.078 0.654
Sc1 0.250 0.500 0.500
Sc2 0.750 0.500 0.500
Sc3 0.513 0.737 0.737
Sc4 0.987 0.263 0.263
Sc5 0.487 0.263 0.263
Sc6 0.013 0.737 0.737
Sc7 0.086 0.577 0.250
Sc8 0.914 0.423 0.750
Sc9 0.586 0.250 0.577
Sc10 0.414 0.750 0.423
Sb1 0.150 0.702 0.999
Sb2 0.850 0.298 0.001
Sb3 0.650 0.999 0.702
Sb4 0.350 0.001 0.298



10.
# LiPrCoC

An optimized crystal structure of LiPrCoC (PBE, Alexandria).

Computed properties:
The calculation puts the energy relative to the elements at -0.028 eV per atom. As for the raw total energy: -5.783 eV/atom.

Unit cell a=3.430 b=3.430 c=11.252 alpha=90.00 beta=90.00 gamma=90.00
Fractional positions:
Li1 0.250 0.750 0.500
Li2 0.750 0.250 0.500
Pr1 0.750 0.750 0.217
Pr2 0.250 0.250 0.783
Co1 0.750 0.250 0.000
Co2 0.250 0.750 0.000
C1 0.750 0.750 0.908
C2 0.250 0.250 0.092



11.
# GdSc2V

An optimized crystal structure of GdSc2V (PBE, Alexandria).

Computed properties:
The calculation puts the energy relative to the elements at 0.558 eV per atom. As for the raw total energy: -8.408 eV/atom.

Unit cell a=3.182 b=3.182 c=11.024 alpha=81.70 beta=81.70 gamma=60.00
Last column: magnetic moment on the atom in μB.
Fractional positions:
Sc1 0.080 0.080 0.759  -0.08
Sc2 0.920 0.920 0.241  -0.08
Gd1 0.500 0.500 0.500  7.13
V1 0.000 0.000 0.000  -2.27



12.
# LaZrTe3

An optimized crystal structure of LaZrTe3 (PBE, Alexandria).

Computed properties:
The value obtained for the energy above the most stable polymorph in this dataset is 0 meV/atom. As for the raw total energy: -5.778 eV/atom. The formation energy from raw total energies comes out at -115.6 kJ per mole of atoms.

Unit cell a=4.168 b=8.161 c=9.827 alpha=93.42 beta=102.21 gamma=104.79
Fractional positions:
La1 0.917 0.028 0.888
La2 0.580 0.517 0.725
Zr1 0.625 0.899 0.433
Zr2 0.872 0.647 0.180
Te1 0.878 0.233 0.606
Te2 0.192 0.827 0.641
Te3 0.093 0.015 0.254
Te4 0.304 0.719 0.972
Te5 0.403 0.531 0.360
Te6 0.618 0.312 0.008